[1]
RbGe2I2 | PBE | relaxed

Cell and atoms, written as POSCAR:
```
RbGe2I2
1.0
9.538 0.000 0.000
0.000 9.538 0.000
0.000 0.000 4.083
Rb Ge I
2 4 4
Direct
0.000 0.000 0.000 Rb
0.500 0.500 0.000 Rb
0.203 0.297 0.500 Ge
0.297 0.797 0.500 Ge
0.703 0.203 0.500 Ge
0.797 0.703 0.500 Ge
0.149 0.649 0.000 I
0.351 0.149 0.000 I
0.649 0.851 0.000 I
0.851 0.351 0.000 I
```

**Total moment**: 0.07 μB/atom
**Energy relative to the lowest polymorph listed for this composition**: 0.4719 eV/atom
**Raw formation energy**: 136 meV per atom


[2]
Rb3Ge2I7 | PBE | relaxed

Cell and atoms, written as POSCAR:
```
Rb3Ge2I7
1.0
-2.978 2.978 15.175
2.978 -2.978 15.175
2.978 2.978 -15.175
Rb Ge I
3 2 7
Direct
0.000 0.000 0.000 Rb
0.179 0.179 0.000 Rb
0.821 0.821 0.000 Rb
0.398 0.398 0.000 Ge
0.602 0.602 0.000 Ge
0.097 0.597 0.500 I
0.301 0.301 0.000 I
0.403 0.903 0.500 I
0.500 0.500 0.000 I
0.597 0.097 0.500 I
0.699 0.699 0.000 I
0.903 0.403 0.500 I
```

**Total moment**: 0.00 μB/atom
**Raw formation energy**: -891 meV per atom


[3]
RbGe2I | PBE | relaxed

Cell and atoms, written as POSCAR:
```
RbGe2I
1.0
7.890 0.000 0.000
0.000 7.890 0.000
0.000 0.000 7.890
Rb Ge I
4 8 4
Direct
0.000 0.000 0.000 Rb
0.000 0.500 0.500 Rb
0.500 0.000 0.500 Rb
0.500 0.500 0.000 Rb
0.250 0.250 0.250 Ge
0.250 0.250 0.750 Ge
0.250 0.750 0.250 Ge
0.250 0.750 0.750 Ge
0.750 0.250 0.250 Ge
0.750 0.250 0.750 Ge
0.750 0.750 0.250 Ge
0.750 0.750 0.750 Ge
0.000 0.000 0.500 I
0.000 0.500 0.000 I
0.500 0.000 0.000 I
0.500 0.500 0.500 I
```

**Total moment**: 0.00 μB/atom
**Energy relative to the lowest polymorph listed for this composition**: 0.1957 eV/atom
**Raw formation energy**: 564 meV per atom


[4]
RbGe2I5 | PBE | relaxed

Cell and atoms, written as POSCAR:
```
RbGe2I5
1.0
3.021 -6.935 0.000
3.021 6.935 0.000
0.000 0.000 15.598
Rb Ge I
2 4 10
Direct
0.007 0.993 0.750 Rb
0.993 0.007 0.250 Rb
0.360 0.640 0.061 Ge
0.360 0.640 0.439 Ge
0.640 0.360 0.561 Ge
0.640 0.360 0.939 Ge
0.157 0.843 0.546 I
0.157 0.843 0.954 I
0.295 0.705 0.250 I
0.444 0.556 0.617 I
0.444 0.556 0.883 I
0.556 0.444 0.117 I
0.556 0.444 0.383 I
0.705 0.295 0.750 I
0.843 0.157 0.046 I
0.843 0.157 0.454 I
```

**Total moment**: 0.00 μB/atom
**Raw formation energy**: -588 meV per atom


[5]
RbGeI2 | PBE | relaxed

Cell and atoms, written as POSCAR:
```
RbGeI2
1.0
5.081 0.000 0.000
-2.540 4.400 0.000
0.000 0.000 22.046
Rb Ge I
3 3 6
Direct
0.000 0.000 0.000 Rb
0.333 0.667 0.667 Rb
0.667 0.333 0.333 Rb
0.000 0.000 0.500 Ge
0.333 0.667 0.167 Ge
0.667 0.333 0.833 Ge
0.000 0.000 0.231 I
0.000 0.000 0.769 I
0.333 0.667 0.436 I
0.333 0.667 0.897 I
0.667 0.333 0.103 I
0.667 0.333 0.564 I
```

**Total moment**: 0.00 μB/atom
**Energy relative to the lowest polymorph listed for this composition**: 0.0000 eV/atom
**Raw formation energy**: -450 meV per atom


[6]
Rb2Ge2I5 | PBE | relaxed

Cell and atoms, written as POSCAR:
```
Rb2Ge2I5
1.0
9.472 0.000 0.000
0.000 4.348 4.437
0.000 -4.348 4.437
Rb Ge I
2 2 5
Direct
0.000 0.000 0.000 Rb
0.500 0.010 0.010 Rb
0.325 0.481 0.481 Ge
0.675 0.481 0.481 Ge
0.000 0.541 0.541 I
0.277 0.037 0.511 I
0.277 0.511 0.037 I
0.723 0.037 0.511 I
0.723 0.511 0.037 I
```

**Total moment**: 0.00 μB/atom
**Energy relative to the lowest polymorph listed for this composition**: 0.0000 eV/atom
**Raw formation energy**: -695 meV per atom


[7]
RbGeI2 | PBE | relaxed

Cell and atoms, written as POSCAR:
```
RbGeI2
1.0
6.983 0.000 0.000
0.000 6.983 0.000
0.000 0.000 17.816
Rb Ge I
4 4 8
Direct
0.000 0.000 0.000 Rb
0.000 0.500 0.250 Rb
0.500 0.000 0.750 Rb
0.500 0.500 0.500 Rb
0.000 0.000 0.500 Ge
0.000 0.500 0.750 Ge
0.500 0.000 0.250 Ge
0.500 0.500 0.000 Ge
0.166 0.250 0.625 I
0.250 0.666 0.875 I
0.250 0.834 0.375 I
0.334 0.250 0.125 I
0.666 0.750 0.125 I
0.750 0.166 0.375 I
0.750 0.334 0.875 I
0.834 0.750 0.625 I
```

**Total moment**: 0.25 μB/atom
**Energy relative to the lowest polymorph listed for this composition**: 0.0135 eV/atom
**Raw formation energy**: -437 meV per atom


[8]
RbGeI2 | PBE | relaxed

Cell and atoms, written as POSCAR:
```
RbGeI2
1.0
8.367 0.000 0.000
0.000 8.367 0.000
0.000 0.000 8.367
Rb Ge I
4 4 8
Direct
0.000 0.000 0.000 Rb
0.000 0.500 0.500 Rb
0.500 0.000 0.500 Rb
0.500 0.500 0.000 Rb
0.000 0.000 0.500 Ge
0.000 0.500 0.000 Ge
0.500 0.000 0.000 Ge
0.500 0.500 0.500 Ge
0.250 0.250 0.250 I
0.250 0.250 0.750 I
0.250 0.750 0.250 I
0.250 0.750 0.750 I
0.750 0.250 0.250 I
0.750 0.250 0.750 I
0.750 0.750 0.250 I
0.750 0.750 0.750 I
```

**Total moment**: 0.10 μB/atom
**Energy relative to the lowest polymorph listed for this composition**: 0.1514 eV/atom
**Raw formation energy**: -299 meV per atom


[9]
Rb2GeI | PBE | relaxed

Cell and atoms, written as POSCAR:
```
Rb2GeI
1.0
8.961 0.000 0.000
0.000 8.961 0.000
0.000 0.000 8.961
Rb Ge I
8 4 4
Direct
0.250 0.250 0.250 Rb
0.250 0.250 0.750 Rb
0.250 0.750 0.250 Rb
0.250 0.750 0.750 Rb
0.750 0.250 0.250 Rb
0.750 0.250 0.750 Rb
0.750 0.750 0.250 Rb
0.750 0.750 0.750 Rb
0.000 0.000 0.000 Ge
0.000 0.500 0.500 Ge
0.500 0.000 0.500 Ge
0.500 0.500 0.000 Ge
0.000 0.000 0.500 I
0.000 0.500 0.000 I
0.500 0.000 0.000 I
0.500 0.500 0.500 I
```

**Total moment**: 0.75 μB/atom
**Energy relative to the lowest polymorph listed for this composition**: 0.0000 eV/atom
**Raw formation energy**: -343 meV per atom


[10]
RbGe2I6 | PBE | relaxed

Cell and atoms, written as POSCAR:
```
RbGe2I6
1.0
7.387 -2.722 0.000
7.387 2.722 0.000
-5.334 0.000 10.973
Rb Ge I
1 2 6
Direct
0.000 0.000 0.000 Rb
0.180 0.180 0.670 Ge
0.820 0.820 0.330 Ge
0.006 0.006 0.686 I
0.303 0.303 0.390 I
0.311 0.311 0.909 I
0.689 0.689 0.091 I
0.697 0.697 0.610 I
0.994 0.994 0.314 I
```

**Total moment**: 0.00 μB/atom
**Raw formation energy**: -516 meV per atom


[11]
Rb2Ge2I5 | PBE | relaxed

Cell and atoms, written as POSCAR:
```
Rb2Ge2I5
1.0
8.398 -3.211 0.000
8.398 3.211 0.000
-3.524 0.000 7.802
Rb Ge I
2 2 5
Direct
0.105 0.105 0.294 Rb
0.895 0.895 0.706 Rb
0.342 0.342 0.113 Ge
0.658 0.658 0.887 Ge
0.157 0.157 0.897 I
0.347 0.347 0.447 I
0.500 0.500 0.000 I
0.653 0.653 0.553 I
0.843 0.843 0.103 I
```

**Total moment**: 0.00 μB/atom
**Energy relative to the lowest polymorph listed for this composition**: 0.0437 eV/atom
**Raw formation energy**: -652 meV per atom


[12]
Rb3GeI | PBE | relaxed

Cell and atoms, written as POSCAR:
```
Rb3GeI
1.0
6.774 0.000 0.000
0.000 6.774 0.000
0.000 0.000 6.774
Rb Ge I
3 1 1
Direct
0.000 0.000 0.500 Rb
0.000 0.500 0.000 Rb
0.500 0.000 0.000 Rb
0.000 0.000 0.000 Ge
0.500 0.500 0.500 I
```

**Total moment**: 0.40 μB/atom
**Energy relative to the lowest polymorph listed for this composition**: 0.0000 eV/atom
**Raw formation energy**: -286 meV per atom


[13]
RbGe3I12 | PBE | relaxed

Cell and atoms, written as POSCAR:
```
RbGe3I12
1.0
6.616 3.820 13.093
-6.616 3.820 13.093
0.000 -7.640 13.093
Rb Ge I
2 6 24
Direct
0.000 0.000 0.000 Rb
0.500 0.500 0.500 Rb
0.074 0.726 0.365 Ge
0.226 0.574 0.865 Ge
0.365 0.074 0.726 Ge
0.574 0.865 0.226 Ge
0.726 0.365 0.074 Ge
0.865 0.226 0.574 Ge
0.088 0.665 0.226 I
0.090 0.091 0.491 I
0.091 0.491 0.090 I
0.165 0.588 0.726 I
0.208 0.788 0.799 I
0.226 0.088 0.665 I
0.288 0.708 0.299 I
0.299 0.288 0.708 I
0.326 0.925 0.953 I
0.425 0.826 0.453 I
0.453 0.425 0.826 I
0.491 0.090 0.091 I
0.588 0.726 0.165 I
0.590 0.991 0.591 I
0.591 0.590 0.991 I
0.665 0.226 0.088 I
0.708 0.299 0.288 I
0.726 0.165 0.588 I
0.788 0.799 0.208 I
0.799 0.208 0.788 I
0.826 0.453 0.425 I
0.925 0.953 0.326 I
0.953 0.326 0.925 I
0.991 0.591 0.590 I
```

**Total moment**: 0.00 μB/atom
**Raw formation energy**: -390 meV per atom


[14]
RbGe2I | PBE | relaxed

Cell and atoms, written as POSCAR:
```
RbGe2I
1.0
9.363 0.000 0.000
0.000 9.363 0.000
0.000 0.000 6.362
Rb Ge I
4 8 4
Direct
0.000 0.000 0.000 Rb
0.000 0.500 0.250 Rb
0.500 0.000 0.750 Rb
0.500 0.500 0.500 Rb
0.215 0.250 0.625 Ge
0.250 0.715 0.875 Ge
0.250 0.785 0.375 Ge
0.285 0.250 0.125 Ge
0.715 0.750 0.125 Ge
0.750 0.215 0.375 Ge
0.750 0.285 0.875 Ge
0.785 0.750 0.625 Ge
0.000 0.000 0.500 I
0.000 0.500 0.750 I
0.500 0.000 0.250 I
0.500 0.500 0.000 I
```

**Total moment**: 0.00 μB/atom
**Energy relative to the lowest polymorph listed for this composition**: 0.0000 eV/atom
**Raw formation energy**: 368 meV per atom


[15]
RbGeI4 | PBE | relaxed

Cell and atoms, written as POSCAR:
```
RbGeI4
1.0
7.484 0.000 0.000
0.000 12.513 0.000
-1.299 0.000 7.418
Rb Ge I
2 2 8
Direct
0.194 0.250 0.174 Rb
0.806 0.750 0.826 Rb
0.309 0.750 0.328 Ge
0.691 0.250 0.672 Ge
0.136 0.579 0.148 I
0.136 0.921 0.148 I
0.294 0.750 0.684 I
0.332 0.250 0.684 I
0.668 0.750 0.316 I
0.706 0.250 0.316 I
0.864 0.079 0.852 I
0.864 0.421 0.852 I
```

**Total moment**: 0.00 μB/atom
**Raw formation energy**: -655 meV per atom


[16]
Rb2GeI | PBE | relaxed

Cell and atoms, written as POSCAR:
```
Rb2GeI
1.0
9.506 0.000 0.000
0.000 9.506 0.000
0.000 0.000 10.642
Rb Ge I
8 4 4
Direct
0.249 0.250 0.125 Rb
0.250 0.749 0.375 Rb
0.250 0.751 0.875 Rb
0.251 0.250 0.625 Rb
0.749 0.750 0.625 Rb
0.750 0.249 0.875 Rb
0.750 0.251 0.375 Rb
0.751 0.750 0.125 Rb
0.000 0.000 0.500 Ge
0.000 0.500 0.750 Ge
0.500 0.000 0.250 Ge
0.500 0.500 0.000 Ge
0.000 0.000 0.000 I
0.000 0.500 0.250 I
0.500 0.000 0.750 I
0.500 0.500 0.500 I
```

**Total moment**: 0.75 μB/atom
**Energy relative to the lowest polymorph listed for this composition**: 0.0659 eV/atom
**Raw formation energy**: -277 meV per atom


[17]
Rb4Ge3I10 | PBE | relaxed

Cell and atoms, written as POSCAR:
```
Rb4Ge3I10
1.0
-2.982 2.982 21.140
2.982 -2.982 21.140
2.982 2.982 -21.140
Rb Ge I
4 3 10
Direct
0.066 0.066 0.000 Rb
0.198 0.198 0.000 Rb
0.802 0.802 0.000 Rb
0.934 0.934 0.000 Rb
0.355 0.355 0.000 Ge
0.500 0.500 0.000 Ge
0.645 0.645 0.000 Ge
0.000 0.500 0.500 I
0.140 0.640 0.500 I
0.287 0.287 0.000 I
0.360 0.860 0.500 I
0.429 0.429 0.000 I
0.500 0.000 0.500 I
0.571 0.571 0.000 I
0.640 0.140 0.500 I
0.713 0.713 0.000 I
0.860 0.360 0.500 I
```

**Total moment**: 0.00 μB/atom
**Raw formation energy**: -855 meV per atom


[18]
Rb2Ge2I | PBE | relaxed

Cell and atoms, written as POSCAR:
```
Rb2Ge2I
1.0
10.163 0.000 0.000
0.000 10.163 0.000
0.000 0.000 4.041
Rb Ge I
4 4 2
Direct
0.215 0.285 0.000 Rb
0.285 0.785 0.000 Rb
0.715 0.215 0.000 Rb
0.785 0.715 0.000 Rb
0.080 0.580 0.500 Ge
0.420 0.080 0.500 Ge
0.580 0.920 0.500 Ge
0.920 0.420 0.500 Ge
0.000 0.000 0.500 I
0.500 0.500 0.500 I
```

**Total moment**: 0.00 μB/atom
**Energy relative to the lowest polymorph listed for this composition**: 0.0000 eV/atom
**Raw formation energy**: -225 meV per atom


[19]
RbGeI3 | PBE | relaxed

Cell and atoms, written as POSCAR:
```
RbGeI3
1.0
6.606 0.000 0.000
0.000 6.606 0.000
0.000 0.000 6.606
Rb Ge I
1 1 3
Direct
0.000 0.000 0.000 Rb
0.500 0.500 0.500 Ge
0.000 0.000 0.500 I
0.000 0.500 0.000 I
0.500 0.000 0.000 I
```

**Total moment**: 0.00 μB/atom
**Raw formation energy**: 299 meV per atom


[20]
Rb3GeI6 | PBE | relaxed

Cell and atoms, written as POSCAR:
```
Rb3GeI6
1.0
0.000 6.332 6.332
6.332 0.000 6.332
6.332 6.332 0.000
Rb Ge I
3 1 6
Direct
0.000 0.000 0.000 Rb
0.250 0.250 0.250 Rb
0.750 0.750 0.750 Rb
0.500 0.500 0.500 Ge
0.273 0.273 0.727 I
0.273 0.727 0.273 I
0.273 0.727 0.727 I
0.727 0.273 0.273 I
0.727 0.273 0.727 I
0.727 0.727 0.273 I
```

**Total moment**: 0.00 μB/atom
**Energy relative to the lowest polymorph listed for this composition**: 0.0647 eV/atom
**Raw formation energy**: -881 meV per atom


[21]
Rb2Ge2I | PBE | relaxed

Cell and atoms, written as POSCAR:
```
Rb2Ge2I
1.0
6.992 0.000 0.000
0.000 6.992 0.000
0.000 0.000 8.934
Rb Ge I
4 4 2
Direct
0.000 0.500 0.250 Rb
0.000 0.500 0.750 Rb
0.500 0.000 0.250 Rb
0.500 0.000 0.750 Rb
0.000 0.000 0.125 Ge
0.000 0.000 0.875 Ge
0.500 0.500 0.375 Ge
0.500 0.500 0.625 Ge
0.000 0.000 0.500 I
0.500 0.500 0.000 I
```

**Total moment**: 0.00 μB/atom
**Energy relative to the lowest polymorph listed for this composition**: 0.0227 eV/atom
**Raw formation energy**: -202 meV per atom


[22]
Rb3Ge2I8 | PBE | relaxed

Cell and atoms, written as POSCAR:
```
Rb3Ge2I8
1.0
4.301 2.483 10.339
-4.301 2.483 10.339
0.000 -4.966 10.339
Rb Ge I
3 2 8
Direct
0.000 0.000 0.000 Rb
0.205 0.205 0.205 Rb
0.795 0.795 0.795 Rb
0.411 0.411 0.411 Ge
0.589 0.589 0.589 Ge
0.202 0.745 0.745 I
0.255 0.255 0.798 I
0.255 0.798 0.255 I
0.323 0.323 0.323 I
0.677 0.677 0.677 I
0.745 0.202 0.745 I
0.745 0.745 0.202 I
0.798 0.255 0.255 I
```

**Total moment**: 0.00 μB/atom
**Raw formation energy**: -783 meV per atom